Record 1
Here is an optimized crystal structure of PmPr2Pd2 from Alexandria via LeMat-Bulk. Energies are from PBE.

a b c (Å): 6.9234 6.9234 11.6256
angles (deg): 117.46 117.46 33.97
Last column: nearest neighbours and their distance in Å.
Sites, in units of the cell vectors:
Pm 0.2019 0.2019 0.3548  4 Pd 2.89-2.99
Pm 0.7981 0.7981 0.6452  4 Pd 2.89-2.99
Pr 0.3283 0.3283 0.9235  2 Pd 2.96
Pr 0.4529 0.4529 0.3020  6 Pd 3.07-3.37
Pr 0.5471 0.5471 0.6980  6 Pd 3.07-3.37
Pr 0.6717 0.6717 0.0765  2 Pd 2.96
Pd 0.0192 0.0192 0.8861  1 Pm 2.92, 1 Pd 2.93, 4 Pr 2.96-3.13
Pd 0.1206 0.1206 0.5539  1 Pd 2.81, 3 Pm 2.89-2.99, 2 Pr 3.07
Pd 0.8794 0.8794 0.4461  1 Pd 2.81, 3 Pm 2.89-2.99, 2 Pr 3.07
Pd 0.9808 0.9808 0.1139  1 Pm 2.92, 1 Pd 2.93, 4 Pr 2.96-3.13

Values from the calculation:
calculated formation energy = -3.08 eV per formula unit
crystal system = monoclinic
VASP energy = -55.54 eV/cell

=====

Record 2
Here is an optimized crystal structure of PmPr2Pd6 from Alexandria via LeMat-Bulk. Energies are from PBE.

a b c (Å): 7.6475 7.6475 7.6475
angles (deg): 149.54 109.14 79.06
Last column: nearest neighbours and their distance in Å.
Sites, in units of the cell vectors:
Pm 0.0000 0.0000 0.0000  8 Pd 2.95-2.96
Pr 0.3336 0.3336 0.0000  8 Pd 2.97-2.99
Pr 0.6664 0.6664 0.0000  8 Pd 2.97-2.99
Pd 0.0835 0.8340 0.2495  4 Pd 2.81-2.82, 1 Pm 2.95, 3 Pr 2.97-2.99
Pd 0.2451 0.5000 0.7451  4 Pd 2.81, 2 Pm 2.96, 2 Pr 2.99
Pd 0.4156 0.1660 0.2495  4 Pd 2.81-2.82, 1 Pm 2.95, 3 Pr 2.97-2.99
Pd 0.5844 0.8340 0.7505  4 Pd 2.81-2.82, 1 Pm 2.95, 3 Pr 2.97-2.99
Pd 0.7549 0.5000 0.2549  4 Pd 2.81, 2 Pm 2.96, 2 Pr 2.99
Pd 0.9165 0.1660 0.7505  4 Pd 2.81-2.82, 1 Pm 2.95, 3 Pr 2.97-2.99

Values from the calculation:
calculated formation energy = -4.64 eV per formula unit
crystal system = orthorhombic
VASP energy = -50.10 eV/cell

=====

Record 3
Here is an optimized crystal structure of Pm3PrPd from Alexandria via LeMat-Bulk. Energies are from PBE.

a b c (Å): 6.4981 6.4981 13.8285
angles (deg): 110.80 110.80 34.58
Last column: nearest neighbours and their distance in Å.
Sites, in units of the cell vectors:
Pm 0.0000 0.0000 0.0000  2 Pd 3.06
Pm 0.0317 0.0317 0.3816  1 Pd 3.37, 7 Pm 3.54-3.64, 2 Pr 3.69
Pm 0.3382 0.3382 0.4657  2 Pd 2.95
Pm 0.4635 0.4635 0.7589  2 Pd 2.94
Pm 0.6595 0.6595 0.2354  1 Pd 3.43, 3 Pr 3.55-3.59, 6 Pm 3.57-3.68
Pm 0.6942 0.6942 0.6132  2 Pd 3.12
Pr 0.2292 0.2292 0.8502  2 Pd 2.99
Pr 0.3523 0.3523 0.1504  2 Pd 3.00
Pd 0.6907 0.6907 0.9989  4 Pr 2.99-3.00, 2 Pm 3.06
Pd 0.9965 0.9965 0.6120  6 Pm 2.94-3.12

Values from the calculation:
calculated formation energy = -1.54 eV per formula unit
crystal system = monoclinic
VASP energy = -51.53 eV/cell

=====

Question: Among the records above, which one has the lowest VASP energy?
Answer: PmPr2Pd2

=====

Question: What is the calculated formation energy in the third record?
Answer: -1.54 eV per formula unit

=====

Question: What is the formula in the second record?
Answer: PmPr2Pd6

=====

Question: Which formula does entry 2 have?
Answer: PmPr2Pd6